Below is a relaxed structure of V7SnC2, with properties calculated at the GGA-PBE level.

POSCAR file:
```
V7SnC2
1.0
4.0300 0.0000 0.0000
0.0000 6.1758 -0.0095
0.0000 -2.7947 5.5073
V C Sn
7 2 1
Cartesian
0.0000 3.7506 1.4820 V
2.0150 3.9262 3.6039 V
2.0150 -0.5451 1.8940 V
2.0150 1.6906 2.7489 V
2.0150 1.9362 0.3680 V
0.0000 -0.3695 4.0158 V
2.0150 1.4449 5.1298 V
2.0150 3.5304 1.6174 C
2.0150 -0.1492 3.8804 C
0.0000 0.0000 0.0000 Sn
```

Results
* energy of formation from the pure elements: -0.003 eV/atom
* volume: 137.0 Å³/f.u.

=====

Below is a relaxed structure of Tc2AgOs, with properties calculated at the GGA-PBE level.

POSCAR file:
```
Tc2AgOs
1.0
-6.4007 -1.7128 -6.6302
-7.6871 -2.9231 -4.4974
-7.9735 -0.2020 -4.9238
Os Tc Ag
1 2 1
Cartesian
-16.5460 -3.6284 -12.0385 Os
-10.8950 -2.3892 -7.9270 Tc
-0.1356 -0.0297 -0.0987 Tc
-5.5153 -1.2095 -4.0128 Ag
```

Results
* energy of formation from the pure elements: 0.280 eV/atom
* volume: 61.3 Å³/f.u.

=====

Below is a relaxed structure of Ag2PbC2, with properties calculated at the GGA-PBE level.

POSCAR file:
```
Ag2PbC2
1.0
7.3682 0.0000 0.0000
0.0000 7.3682 0.0000
0.0000 0.0000 2.9516
Pb C Ag
2 4 4
Cartesian
3.6841 3.6841 0.0000 Pb
0.0000 0.0000 0.0000 Pb
4.7433 6.3090 1.4758 C
2.6249 1.0592 1.4758 C
6.3090 2.6249 1.4758 C
1.0592 4.7433 1.4758 C
4.6584 0.9743 0.0000 Ag
6.3938 4.6584 0.0000 Ag
0.9743 2.7098 0.0000 Ag
2.7098 6.3938 0.0000 Ag
```

Results
* energy of formation from the pure elements: 2.011 eV/atom
* volume: 80.1 Å³/f.u.

=====

Below is a relaxed structure of ZrInSb2, with properties calculated at the GGA-PBE level.

POSCAR file:
```
ZrInSb2
1.0
5.2381 0.0000 0.0000
2.6190 4.5363 0.0000
2.6190 1.5121 4.2769
Sb In Zr
2 1 1
Cartesian
0.0000 0.0000 0.0000 Sb
2.6190 1.5121 1.0692 Sb
5.2381 3.0242 2.1384 In
7.8571 4.5363 3.2077 Zr
```

Results
* volume: 101.6 Å³/f.u.
* ΔE_f (raw): 154 meV/atom

=====

It is found that the DOS at the Fermi energy values, taken in the order of the records, are 7.08; 4.51; 4.13; 3.83 states/eV/cell.
It is found that the DFT total energy values, taken in the order of the records, are -8.631; -8.424; -3.561; -4.729 eV/atom.